SiNi2Hg SCAN PBEsol geometry; ΔE_f (raw) = -198 meV per atom; relative energy among the computed polymorphs = 0 kJ/mol of formula units; space-group type = No. 123; D(E_F) = 1.50 states/eV per cell; E = -2.0455 Ry per atom
1.0
2.818 0.000 0.000
0.000 2.818 0.000
0.000 0.000 6.499
Si Ni Hg
1 2 1
direct
0.000 0.000 0.000 Si
0.500 0.500 0.194 Ni
0.500 0.500 0.806 Ni
0.000 0.000 0.500 Hg